Here is crystalline RbPdI at its relaxed geometry from the Alexandria database. Energies are from GGA-PBE.

a b c (Å): 6.4182 4.6625 9.0512
angles (deg): 88.43 55.71 90.15
With the nearest neighbours (Å) after each atom.
Sites, in units of the cell vectors:
1 I 0.4877 0.2368 0.7459  3 Pd 2.74-2.95
2 I 0.5123 0.7632 0.2541  3 Pd 2.74-2.95
3 Pd 0.4663 0.2539 0.4291  3 I 2.74-2.95, 2 Pd 2.81
4 Pd 0.5337 0.7461 0.5709  3 I 2.74-2.95, 2 Pd 2.81
5 Rb 0.9317 0.7377 0.7552  1 Pd 3.23
6 Rb 0.0683 0.2623 0.2448  1 Pd 3.23

Output
Uncorrected formation energy ... -579.5 meV/atom
Theoretical density ... 4.734 g cm⁻³
Crystal system ... triclinic
E above lowest polymorph ... 0.0929 eV per atom

Here is crystalline CsY3Br at its relaxed geometry from the Alexandria database. Energies are from GGA-PBE.

a b c (Å): 5.6908 5.6908 5.6908
angles (deg): 90.00 90.00 90.00
With the nearest neighbours (Å) after each atom.
Sites, in units of the cell vectors:
1 Y 0.5000 0.0000 0.0000  2 Br 2.85
2 Y 0.0000 0.0000 0.5000  2 Br 2.85
3 Y 0.0000 0.5000 0.0000  2 Br 2.85
4 Cs 0.5000 0.5000 0.5000  12 Y 4.02
5 Br 0.0000 0.0000 0.0000  6 Y 2.85

Output
Uncorrected formation energy ... 242.8 meV/atom
Theoretical density ... 4.321 g cm⁻³
Crystal system ... cubic
E above lowest polymorph ... 0.0000 eV per atom

Here is crystalline Ho2VAg at its relaxed geometry from the Alexandria database. Energies are from GGA-PBE.

a b c (Å): 3.6117 3.6117 7.0908
angles (deg): 90.00 90.00 90.00
With the nearest neighbours (Å) after each atom.
Sites, in units of the cell vectors:
1 Ho 0.0000 0.0000 0.7591  4 V 3.07, 4 Ag 3.15, 1 Ho 3.42
2 Ho 0.0000 0.0000 0.2409  4 V 3.07, 4 Ag 3.15, 1 Ho 3.42
3 V 0.5000 0.5000 0.0000  8 Ho 3.07
4 Ag 0.5000 0.5000 0.5000  8 Ho 3.15

Output
ΔH_f (0 K) ... 0.016 eV/atom
Theoretical density ... 8.773 g cm⁻³
Crystal system ... tetragonal
E above lowest polymorph ... 0.0000 eV per atom

Here is crystalline Sr2Al2AgPd5 at its relaxed geometry from the Alexandria database. Energies are from GGA-PBE.

a b c (Å): 3.5485 10.4694 10.4694
angles (deg): 90.00 90.00 90.00
With the nearest neighbours (Å) after each atom.
Sites, in units of the cell vectors:
1 Pd 0.5000 0.7879 0.9359  2 Al 2.56
2 Pd 0.5000 0.9359 0.2121  2 Al 2.56
3 Pd 0.5000 0.4359 0.2879  2 Al 2.56
4 Pd 0.5000 0.0000 0.5000  4 Al 2.53
5 Pd 0.5000 0.7121 0.4359  2 Al 2.56
6 Pd 0.5000 0.5000 0.0000  4 Al 2.53
7 Pd 0.5000 0.2879 0.5641  2 Al 2.56
8 Pd 0.5000 0.2121 0.0641  2 Al 2.56
9 Pd 0.5000 0.5641 0.7121  2 Al 2.56
10 Pd 0.5000 0.0641 0.7879  2 Al 2.56
11 Ag 0.0000 0.0000 0.0000  8 Pd 2.92
12 Ag 0.0000 0.5000 0.5000  8 Pd 2.92
13 Al 0.0000 0.1214 0.6214  6 Pd 2.53-2.56
14 Al 0.0000 0.6214 0.8786  6 Pd 2.53-2.56
15 Al 0.0000 0.8786 0.3786  6 Pd 2.53-2.56
16 Al 0.0000 0.3786 0.1214  6 Pd 2.53-2.56
17 Sr 0.0000 0.8220 0.6780  3 Al 2.97-3.19, 10 Pd 3.18-3.30
18 Sr 0.0000 0.6780 0.1780  3 Al 2.97-3.19, 10 Pd 3.18-3.30
19 Sr 0.0000 0.1780 0.3220  3 Al 2.97-3.19, 10 Pd 3.18-3.30
20 Sr 0.0000 0.3220 0.8220  3 Al 2.97-3.19, 10 Pd 3.18-3.30

Output
ΔH_f (0 K) ... -0.572 eV/atom
Theoretical density ... 7.422 g cm⁻³
Crystal system ... tetragonal

Here is crystalline Pa2AuSe at its relaxed geometry from the Alexandria database. Energies are from GGA-PBE.

a b c (Å): 3.3847 3.3847 7.7649
angles (deg): 90.00 90.00 90.00
With the nearest neighbours (Å) after each atom.
Sites, in units of the cell vectors:
1 Au 0.5000 0.5000 0.5000  8 Pa 3.14, 4 Au 3.38
2 Pa 0.0000 0.0000 0.7616  4 Se 3.03, 4 Au 3.14, 4 Pa 3.38
3 Pa 0.0000 0.0000 0.2384  4 Se 3.03, 4 Au 3.14, 4 Pa 3.38
4 Se 0.5000 0.5000 0.0000  8 Pa 3.03, 4 Se 3.38

Output
Uncorrected formation energy ... -611.3 meV/atom
Theoretical density ... 13.776 g cm⁻³
Crystal system ... tetragonal
E above lowest polymorph ... 0.0000 eV per atom

Here is crystalline Ce3DySn12 at its relaxed geometry from the Alexandria database. Energies are from GGA-PBE.

a b c (Å): 4.7398 4.7398 18.6497
angles (deg): 90.00 90.00 90.00
With the nearest neighbours (Å) after each atom.
Sites, in units of the cell vectors:
1 Sn 0.5000 0.5000 0.5000  8 Sn 3.33, 4 Ce 3.35
2 Sn 0.0000 0.5000 0.3749  4 Ce 3.32-3.33, 8 Sn 3.33-3.35
3 Sn 0.5000 0.5000 0.0000  8 Sn 3.31, 4 Dy 3.35
4 Sn 0.5000 0.0000 0.3749  4 Ce 3.32-3.33, 8 Sn 3.33-3.35
5 Sn 0.0000 0.5000 0.6251  4 Ce 3.32-3.33, 8 Sn 3.33-3.35
6 Sn 0.5000 0.0000 0.6251  4 Ce 3.32-3.33, 8 Sn 3.33-3.35
7 Sn 0.5000 0.0000 0.8762  2 Dy 3.31, 8 Sn 3.31-3.35, 2 Ce 3.35
8 Sn 0.5000 0.5000 0.2492  8 Sn 3.33, 4 Ce 3.35
9 Sn 0.5000 0.0000 0.1238  8 Sn 3.31-3.35, 2 Dy 3.31, 2 Ce 3.35
10 Sn 0.0000 0.5000 0.1238  2 Dy 3.31, 8 Sn 3.31-3.35, 2 Ce 3.35
11 Sn 0.0000 0.5000 0.8762  2 Dy 3.31, 8 Sn 3.31-3.35, 2 Ce 3.35
12 Sn 0.5000 0.5000 0.7508  8 Sn 3.33, 4 Ce 3.35
13 Dy 0.0000 0.0000 0.0000  12 Sn 3.31-3.35
14 Ce 0.0000 0.0000 0.5000  12 Sn 3.33-3.35
15 Ce 0.0000 0.0000 0.2505  12 Sn 3.32-3.35
16 Ce 0.0000 0.0000 0.7495  12 Sn 3.32-3.35

Output
ΔH_f (0 K) ... -0.512 eV/atom
Theoretical density ... 7.956 g cm⁻³
Crystal system ... tetragonal